Here is an optimized crystal structure of NdZnOs from the Alexandria database. Energies are from PBE.

Unit cell a=4.047 b=4.253 c=7.682 alpha=90.00 beta=94.39 gamma=90.00
Fractional positions:
Nd (0.243, 0.250, 0.176)
Nd (0.757, 0.750, 0.824)
Zn (0.208, 0.250, 0.713)
Zn (0.792, 0.750, 0.287)
Os (0.335, 0.750, 0.511)
Os (0.665, 0.250, 0.489)

* space-group type: P2_1/m

Here is an optimized crystal structure of Nd6ZnOs2 from the Alexandria database. Energies are from PBE.

Unit cell a=8.704 b=8.704 c=8.704 alpha=111.85 beta=111.54 gamma=105.11
Fractional positions:
Nd (0.045, 0.243, 0.802)
Nd (0.181, 0.273, 0.454)
Nd (0.181, 0.727, 0.908)
Nd (0.328, 0.014, 0.686)
Nd (0.328, 0.642, 0.314)
Nd (0.441, 0.243, 0.198)
Nd (0.559, 0.757, 0.802)
Nd (0.672, 0.358, 0.686)
Nd (0.672, 0.986, 0.314)
Nd (0.819, 0.273, 0.092)
Nd (0.819, 0.727, 0.546)
Nd (0.955, 0.757, 0.198)
Zn (0.000, 0.000, 0.000)
Zn (0.500, 0.500, 0.000)
Os (0.117, 0.617, 0.500)
Os (0.324, 0.000, 0.324)
Os (0.676, 0.000, 0.676)
Os (0.883, 0.383, 0.500)

* space-group type: Immm

Here is an optimized crystal structure of Nd4ZnOs from the Alexandria database. Energies are from PBE.

Unit cell a=9.830 b=9.830 c=9.830 alpha=60.00 beta=60.00 gamma=60.00
Fractional positions:
Nd (0.190, 0.190, 0.810)
Nd (0.190, 0.810, 0.190)
Nd (0.190, 0.810, 0.810)
Nd (0.402, 0.402, 0.402)
Nd (0.402, 0.402, 0.795)
Nd (0.402, 0.795, 0.402)
Nd (0.556, 0.556, 0.944)
Nd (0.556, 0.944, 0.556)
Nd (0.556, 0.944, 0.944)
Nd (0.795, 0.402, 0.402)
Nd (0.810, 0.190, 0.190)
Nd (0.810, 0.190, 0.810)
Nd (0.810, 0.810, 0.190)
Nd (0.944, 0.556, 0.556)
Nd (0.944, 0.556, 0.944)
Nd (0.944, 0.944, 0.556)
Zn (0.174, 0.174, 0.174)
Zn (0.174, 0.174, 0.478)
Zn (0.174, 0.478, 0.174)
Zn (0.478, 0.174, 0.174)
Os (0.165, 0.612, 0.612)
Os (0.612, 0.165, 0.612)
Os (0.612, 0.612, 0.165)
Os (0.612, 0.612, 0.612)

* space-group type: F-43m
* excess energy over the best structure of this formula in the dataset: 0.00 eV per formula unit

Here is an optimized crystal structure of Nd8Zn2Os from the Alexandria database. Energies are from PBE.

Unit cell a=9.420 b=9.420 c=6.954 alpha=102.21 beta=102.21 gamma=32.22
Fractional positions:
Nd (0.028, 0.028, 0.288)
Nd (0.201, 0.201, 0.813)
Nd (0.343, 0.343, 0.541)
Nd (0.411, 0.411, 0.068)
Nd (0.589, 0.589, 0.932)
Nd (0.657, 0.657, 0.459)
Nd (0.799, 0.799, 0.187)
Nd (0.972, 0.972, 0.712)
Zn (0.192, 0.192, 0.233)
Zn (0.808, 0.808, 0.767)
Os (0.500, 0.500, 0.500)

* space-group type: C2/m
* excess energy over the best structure of this formula in the dataset: 0.00 eV per formula unit

Here is an optimized crystal structure of Nd8Zn2Os from the Alexandria database. Energies are from PBE.

Unit cell a=8.812 b=8.812 c=8.812 alpha=146.91 beta=121.37 gamma=69.00
Fractional positions:
Nd (0.115, 0.345, 0.770)
Nd (0.121, 0.121, 0.000)
Nd (0.334, 0.000, 0.334)
Nd (0.426, 0.655, 0.770)
Nd (0.574, 0.345, 0.230)
Nd (0.666, 0.000, 0.666)
Nd (0.879, 0.879, 0.000)
Nd (0.885, 0.655, 0.230)
Zn (0.304, 0.804, 0.500)
Zn (0.696, 0.196, 0.500)
Os (0.000, 0.500, 0.500)

* space-group type: Immm
* excess energy over the best structure of this formula in the dataset: 1.18 eV per formula unit

Here is an optimized crystal structure of Nd6Zn5Os from the Alexandria database. Energies are from PBE.

Unit cell a=8.953 b=8.953 c=8.953 alpha=146.40 beta=131.57 gamma=60.23
Fractional positions:
Nd (0.082, 0.341, 0.741)
Nd (0.237, 0.000, 0.237)
Nd (0.400, 0.659, 0.741)
Nd (0.600, 0.341, 0.259)
Nd (0.763, 0.000, 0.763)
Nd (0.918, 0.659, 0.259)
Zn (0.178, 0.178, 0.000)
Zn (0.331, 0.831, 0.500)
Zn (0.500, 0.500, 0.000)
Zn (0.669, 0.169, 0.500)
Zn (0.822, 0.822, 0.000)
Os (0.000, 0.500, 0.500)

* space-group type: Immm

| no. | formation enthalpy at 0 K (meV/atom) | E_tot (eV per cell) |
| --- | --- | --- |
| 1 | -16 | -34.64 |
| 2 | -127 | -106.97 |
| 3 | -154 | -130.00 |
| 4 | -104 | -53.06 |
| 5 | 3 | -51.89 |
| 6 | -267 | -49.41 |